(1)
Entry from the Alexandria database: a relaxed Sn3PW crystal (GGA-PBE).

## Properties
* formation energy: 1.440 eV per atom
* calculated volume: 124 Å³/f.u.

a = 4.991 Å, b = 4.991 Å, c = 4.991 Å
α = 90.00°, β = 90.00°, γ = 90.00°
Sites, in units of the cell vectors:
Sn (0.000, 0.000, 0.500)
Sn (0.000, 0.500, 0.000)
Sn (0.500, 0.000, 0.000)
P (0.000, 0.000, 0.000)
W (0.500, 0.500, 0.500)



(2)
Entry from the Alexandria database: a relaxed Sn3PW crystal (GGA-PBE).

## Properties
* formation energy: 0.849 eV per atom
* calculated volume: 147 Å³/f.u.

a = 5.279 Å, b = 5.279 Å, c = 5.279 Å
α = 90.00°, β = 90.00°, γ = 90.00°
Sites, in units of the cell vectors:
Sn (0.000, 0.000, 0.500)
Sn (0.000, 0.500, 0.000)
Sn (0.500, 0.000, 0.000)
P (0.500, 0.500, 0.500)
W (0.000, 0.000, 0.000)



(3)
Entry from the Alexandria database: a relaxed SnP3W crystal (GGA-PBE).

## Properties
* formation energy: 0.453 eV per atom
* calculated volume: 108 Å³/f.u.

a = 4.756 Å, b = 4.756 Å, c = 4.756 Å
α = 90.00°, β = 90.00°, γ = 90.00°
Sites, in units of the cell vectors:
Sn (0.000, 0.000, 0.000)
P (0.000, 0.500, 0.500)
P (0.500, 0.000, 0.500)
P (0.500, 0.500, 0.000)
W (0.500, 0.500, 0.500)



no.,energy above the lowest structure with this stoichiometry (meV/atom)
1,591
2,0
3,0